Entry 1:
# PBE Sr2TiGe4Pt3, relaxed
data_Sr2TiGe4Pt3
_space_group_name_H-M_alt 'P 1'
_space_group_IT_number 1
_cell_length_a 4.3480
_cell_length_b 4.3480
_cell_length_c 10.8114
_cell_angle_alpha 90.00
_cell_angle_beta 90.00
_cell_angle_gamma 90.00
loop_
_space_group_symop_operation_xyz
'x,y,z'
loop_
_atom_site_label
_atom_site_type_symbol
_atom_site_fract_x
_atom_site_fract_y
_atom_site_fract_z
Sr1 Sr 0.0000 0.5000 0.2470
Sr2 Sr 0.5000 0.0000 0.7530
Ti1 Ti 0.0000 0.0000 0.5000
Ge1 Ge 0.0000 0.0000 0.0000
Ge2 Ge 0.0000 0.5000 0.6353
Ge3 Ge 0.5000 0.0000 0.3647
Ge4 Ge 0.5000 0.5000 0.0000
Pt1 Pt 0.0000 0.5000 0.8776
Pt2 Pt 0.5000 0.0000 0.1224
Pt3 Pt 0.5000 0.5000 0.5000
# SG	P-4m2 (115)
# E_tot	-0.408	Ry per atom

---

Entry 2:
# PBE Sr2TiGe3Pt4, relaxed
data_Sr2TiGe3Pt4
_space_group_name_H-M_alt 'P 1'
_space_group_IT_number 1
_cell_length_a 4.3039
_cell_length_b 4.3039
_cell_length_c 10.8336
_cell_angle_alpha 90.00
_cell_angle_beta 90.00
_cell_angle_gamma 90.00
loop_
_space_group_symop_operation_xyz
'x,y,z'
loop_
_atom_site_label
_atom_site_type_symbol
_atom_site_fract_x
_atom_site_fract_y
_atom_site_fract_z
Sr1 Sr 0.0000 0.5000 0.2443
Sr2 Sr 0.5000 0.0000 0.7557
Ti1 Ti 0.0000 0.0000 0.5000
Ge1 Ge 0.0000 0.5000 0.8698
Ge2 Ge 0.5000 0.0000 0.1302
Ge3 Ge 0.5000 0.5000 0.5000
Pt1 Pt 0.0000 0.0000 0.0000
Pt2 Pt 0.0000 0.5000 0.6352
Pt3 Pt 0.5000 0.0000 0.3648
Pt4 Pt 0.5000 0.5000 0.0000
# SG	P-4m2 (115)
# E_tot	-0.422	Ry per atom

---

Entry 3:
# PBE Sr2TlGePt, relaxed
data_Sr2TlGePt
_space_group_name_H-M_alt 'P 1'
_space_group_IT_number 1
_cell_length_a 5.9420
_cell_length_b 5.9420
_cell_length_c 4.7216
_cell_angle_alpha 90.00
_cell_angle_beta 90.00
_cell_angle_gamma 90.00
loop_
_space_group_symop_operation_xyz
'x,y,z'
loop_
_atom_site_label
_atom_site_type_symbol
_atom_site_fract_x
_atom_site_fract_y
_atom_site_fract_z
Sr1 Sr 0.0000 0.5000 0.0000
Sr2 Sr 0.5000 0.0000 0.0000
Tl1 Tl 0.0000 0.0000 0.5000
Ge1 Ge 0.5000 0.5000 0.5000
Pt1 Pt 0.5000 0.5000 0.0000
# SG	P4/mmm (123)
# E_tot	-0.279	Ry per atom

---

Entry 4:
# PBE SrTmGe2Pt5, relaxed
data_SrTmGe2Pt5
_space_group_name_H-M_alt 'P 1'
_space_group_IT_number 1
_cell_length_a 4.8329
_cell_length_b 4.8329
_cell_length_c 8.4091
_cell_angle_alpha 90.00
_cell_angle_beta 90.00
_cell_angle_gamma 90.00
loop_
_space_group_symop_operation_xyz
'x,y,z'
loop_
_atom_site_label
_atom_site_type_symbol
_atom_site_fract_x
_atom_site_fract_y
_atom_site_fract_z
Sr1 Sr 0.0000 0.0000 0.0000
Tm1 Tm 0.0000 0.0000 0.5000
Ge1 Ge 0.5000 0.5000 0.2874
Ge2 Ge 0.5000 0.5000 0.7126
Pt1 Pt 0.0000 0.5000 0.3184
Pt2 Pt 0.0000 0.5000 0.6816
Pt3 Pt 0.5000 0.0000 0.3184
Pt4 Pt 0.5000 0.0000 0.6816
Pt5 Pt 0.5000 0.5000 0.0000
# SG	P4/mmm (123)
# E_tot	-0.417	Ry per atom

---

Entry 5:
# PBE Sr2UGe3Pt4, relaxed
data_Sr2UGe3Pt4
_space_group_name_H-M_alt 'P 1'
_space_group_IT_number 1
_cell_length_a 4.4073
_cell_length_b 4.4073
_cell_length_c 11.1225
_cell_angle_alpha 90.00
_cell_angle_beta 90.00
_cell_angle_gamma 90.00
loop_
_space_group_symop_operation_xyz
'x,y,z'
loop_
_atom_site_label
_atom_site_type_symbol
_atom_site_fract_x
_atom_site_fract_y
_atom_site_fract_z
Sr1 Sr 0.0000 0.5000 0.2295
Sr2 Sr 0.5000 0.0000 0.7705
U1 U 0.0000 0.0000 0.5000
Ge1 Ge 0.0000 0.5000 0.8822
Ge2 Ge 0.5000 0.0000 0.1178
Ge3 Ge 0.5000 0.5000 0.5000
Pt1 Pt 0.0000 0.0000 0.0000
Pt2 Pt 0.0000 0.5000 0.6559
Pt3 Pt 0.5000 0.0000 0.3441
Pt4 Pt 0.5000 0.5000 0.0000
# SG	P-4m2 (115)
# E_tot	-0.440	Ry per atom

---

Entry 6:
# PBE SrYGe2Pt5, relaxed
data_SrYGe2Pt5
_space_group_name_H-M_alt 'P 1'
_space_group_IT_number 1
_cell_length_a 4.4477
_cell_length_b 4.4477
_cell_length_c 8.7266
_cell_angle_alpha 90.00
_cell_angle_beta 90.00
_cell_angle_gamma 90.00
loop_
_space_group_symop_operation_xyz
'x,y,z'
loop_
_atom_site_label
_atom_site_type_symbol
_atom_site_fract_x
_atom_site_fract_y
_atom_site_fract_z
Sr1 Sr 0.0000 0.0000 0.0000
Y1 Y 0.0000 0.0000 0.5000
Ge1 Ge 0.5000 0.5000 0.3574
Ge2 Ge 0.5000 0.5000 0.6426
Pt1 Pt 0.0000 0.5000 0.2402
Pt2 Pt 0.0000 0.5000 0.7598
Pt3 Pt 0.5000 0.0000 0.2402
Pt4 Pt 0.5000 0.0000 0.7598
Pt5 Pt 0.5000 0.5000 0.0000
# SG	P4/mmm (123)
# E_tot	-0.441	Ry per atom

---

| no. | N(E_F) (states/eV/f.u.) |
| --- | --- |
| 1 | 4.2 |
| 2 | 7.9 |
| 3 | 3.1 |
| 4 | 2.5 |
| 5 | 11.7 |
| 6 | 4.5 |